[1]
{"formula": "GaP2Au", "functional": "PBE", "state": "relaxed", "formation_enthalpy_0k_ev_per_atom": -0.11, "spacegroup": "No. 12", "vol_a3_per_atom": 18.8, "cell": [[5.467, -1.658, 0.000], [5.467, 1.658, 0.000], [-1.572, 0.000, 4.148]], "species": ["Ga", "P", "P", "Au"], "frac_coords": [[0.000, 0.000, 0.000], [0.261, 0.261, 0.345], [0.739, 0.739, 0.655], [0.500, 0.500, 0.500]]}

[2]
{"formula": "Ga2P2Au", "functional": "PBE", "state": "relaxed", "formation_enthalpy_0k_ev_per_atom": 0.34, "spacegroup": "No. 139", "vol_a3_per_atom": 18.5, "cell": [[-2.133, 2.133, 5.090], [2.133, -2.133, 5.090], [2.133, 2.133, -5.090]], "species": ["Ga", "Ga", "P", "P", "Au"], "frac_coords": [[0.119, 0.119, 0.000], [0.881, 0.881, 0.000], [0.250, 0.750, 0.500], [0.750, 0.250, 0.500], [0.500, 0.500, 0.000]]}

[3]
{"formula": "GaP2Au", "functional": "PBE", "state": "relaxed", "formation_enthalpy_0k_ev_per_atom": -0.07, "spacegroup": "No. 25", "vol_a3_per_atom": 18.7, "cell": [[3.285, 0.000, 0.000], [0.000, 4.969, 0.000], [0.000, 0.000, 4.574]], "species": ["Ga", "P", "P", "Au"], "frac_coords": [[0.000, 0.000, 0.000], [0.000, 0.500, 0.120], [0.500, 0.500, 0.446], [0.500, 0.000, 0.530]]}

[4]
{"formula": "GaPAu3", "functional": "PBE", "state": "relaxed", "formation_enthalpy_0k_ev_per_atom": 0.18, "spacegroup": "No. 221", "vol_a3_per_atom": 22.3, "cell": [[4.812, 0.000, 0.000], [0.000, 4.812, 0.000], [0.000, 0.000, 4.812]], "species": ["Ga", "P", "Au", "Au", "Au"], "frac_coords": [[0.000, 0.000, 0.000], [0.500, 0.500, 0.500], [0.000, 0.500, 0.500], [0.500, 0.000, 0.500], [0.500, 0.500, 0.000]]}

[5]
{"formula": "GaP2Au", "functional": "PBE", "state": "relaxed", "formation_enthalpy_0k_ev_per_atom": -0.02, "spacegroup": "No. 10", "vol_a3_per_atom": 18.7, "cell": [[4.519, 0.000, 0.000], [0.000, 3.699, 0.000], [-1.126, 0.000, 4.468]], "species": ["Ga", "P", "P", "Au"], "frac_coords": [[0.000, 0.000, 0.000], [0.210, 0.500, 0.679], [0.790, 0.500, 0.321], [0.500, 0.000, 0.500]]}

[6]
{"formula": "GaP2Au", "functional": "PBE", "state": "relaxed", "formation_enthalpy_0k_ev_per_atom": -0.04, "spacegroup": "No. 1", "vol_a3_per_atom": 19.6, "cell": [[5.754, 0.000, 0.000], [-2.135, 5.426, 0.000], [-2.760, -1.968, 5.030]], "species": ["Ga", "Ga", "P", "P", "P", "P", "Au", "Au"], "frac_coords": [[0.000, 0.000, 0.000], [0.474, 0.153, 0.491], [0.223, 0.396, 0.907], [0.621, 0.643, 0.318], [0.913, 0.535, 0.912], [0.917, 0.508, 0.278], [0.412, 0.771, 0.682], [0.752, 0.064, 0.265]]}

[7]
{"formula": "GaP2Au", "functional": "PBE", "state": "relaxed", "formation_enthalpy_0k_ev_per_atom": -0.12, "spacegroup": "No. 25", "vol_a3_per_atom": 20.4, "cell": [[3.235, 0.000, 0.000], [0.000, 3.941, 0.000], [0.000, 0.000, 6.414]], "species": ["Ga", "P", "P", "Au"], "frac_coords": [[0.000, 0.000, 0.000], [0.000, 0.500, 0.771], [0.500, 0.500, 0.541], [0.500, 0.000, 0.310]]}

[8]
{"formula": "GaP2Au", "functional": "PBE", "state": "relaxed", "formation_enthalpy_0k_ev_per_atom": -0.03, "spacegroup": "No. 9", "vol_a3_per_atom": 21.1, "cell": [[4.868, -2.920, 0.000], [4.868, 2.920, 0.000], [-2.559, 0.000, 5.941]], "species": ["Ga", "Ga", "P", "P", "P", "P", "Au", "Au"], "frac_coords": [[0.063, 0.937, 0.500], [0.937, 0.063, 0.000], [0.410, 0.499, 0.669], [0.499, 0.410, 0.169], [0.524, 0.699, 0.027], [0.699, 0.524, 0.527], [0.012, 0.558, 0.105], [0.558, 0.012, 0.605]]}

[9]
{"formula": "GaP2Au", "functional": "PBE", "state": "relaxed", "formation_enthalpy_0k_ev_per_atom": 0.00, "spacegroup": "No. 1", "vol_a3_per_atom": 18.3, "cell": [[3.337, 0.000, 0.000], [1.644, 3.553, 0.000], [0.059, 1.974, 6.175]], "species": ["Ga", "P", "P", "Au"], "frac_coords": [[0.000, 0.000, 0.000], [0.405, 0.164, 0.491], [0.796, 0.394, 0.255], [0.226, 0.556, 0.743]]}

[10]
{"formula": "GaP2PdAu", "functional": "PBE", "state": "relaxed", "formation_enthalpy_0k_ev_per_atom": 0.85, "spacegroup": "No. 123", "vol_a3_per_atom": 23.2, "cell": [[4.708, 0.000, 0.000], [0.000, 4.708, 0.000], [0.000, 0.000, 5.233]], "species": ["Ga", "P", "P", "Pd", "Au"], "frac_coords": [[0.000, 0.000, 0.000], [0.000, 0.500, 0.500], [0.500, 0.000, 0.500], [0.500, 0.500, 0.000], [0.500, 0.500, 0.500]]}

[11]
{"formula": "GaPAuS2", "functional": "PBE", "state": "relaxed", "formation_energy_uncorrected_mev_per_atom": 738, "spacegroup": "No. 123", "vol_a3_per_atom": 24.0, "cell": [[5.104, 0.000, 0.000], [0.000, 5.104, 0.000], [0.000, 0.000, 4.604]], "species": ["Ga", "P", "Au", "S", "S"], "frac_coords": [[0.000, 0.000, 0.000], [0.500, 0.500, 0.000], [0.500, 0.500, 0.500], [0.000, 0.500, 0.500], [0.500, 0.000, 0.500]]}

[12]
{"formula": "TiGaP2Au", "functional": "PBE", "state": "relaxed", "formation_enthalpy_0k_ev_per_atom": 0.37, "spacegroup": "No. 123", "vol_a3_per_atom": 21.9, "cell": [[4.647, 0.000, 0.000], [0.000, 4.647, 0.000], [0.000, 0.000, 5.070]], "species": ["Ti", "Ga", "P", "P", "Au"], "frac_coords": [[0.000, 0.000, 0.000], [0.000, 0.000, 0.500], [0.000, 0.500, 0.000], [0.500, 0.000, 0.000], [0.500, 0.500, 0.500]]}

[13]
{"formula": "Ga2PWAu", "functional": "PBE", "state": "relaxed", "formation_enthalpy_0k_ev_per_atom": 1.41, "spacegroup": "No. 123", "vol_a3_per_atom": 23.0, "cell": [[4.769, 0.000, 0.000], [0.000, 4.769, 0.000], [0.000, 0.000, 5.060]], "species": ["Ga", "Ga", "P", "W", "Au"], "frac_coords": [[0.000, 0.500, 0.000], [0.500, 0.000, 0.000], [0.000, 0.000, 0.500], [0.500, 0.500, 0.500], [0.000, 0.000, 0.000]]}

[14]
{"formula": "ZnGaP2Au", "functional": "PBE", "state": "relaxed", "formation_enthalpy_0k_ev_per_atom": 0.85, "spacegroup": "No. 123", "vol_a3_per_atom": 20.8, "cell": [[4.710, 0.000, 0.000], [0.000, 4.710, 0.000], [0.000, 0.000, 4.681]], "species": ["Zn", "Ga", "P", "P", "Au"], "frac_coords": [[0.000, 0.000, 0.000], [0.000, 0.000, 0.500], [0.000, 0.500, 0.500], [0.500, 0.000, 0.500], [0.500, 0.500, 0.000]]}

[15]
{"formula": "PaGa3Au", "functional": "PBE", "state": "relaxed", "formation_enthalpy_0k_ev_per_atom": -0.27, "spacegroup": "No. 65", "vol_a3_per_atom": 20.4, "cell": [[2.126, -11.777, 0.000], [2.126, 11.777, 0.000], [0.000, 0.000, 4.082]], "species": ["Pa", "Pa", "Ga", "Ga", "Ga", "Ga", "Ga", "Ga", "Au", "Au"], "frac_coords": [[0.171, 0.829, 0.000], [0.829, 0.171, 0.000], [0.054, 0.946, 0.500], [0.274, 0.726, 0.500], [0.447, 0.553, 0.000], [0.553, 0.447, 0.000], [0.726, 0.274, 0.500], [0.946, 0.054, 0.500], [0.380, 0.620, 0.500], [0.620, 0.380, 0.500]]}

[16]
{"formula": "Pa3Ga2Au4", "functional": "PBE", "state": "relaxed", "formation_enthalpy_0k_ev_per_atom": -0.46, "spacegroup": "No. 12", "vol_a3_per_atom": 20.8, "cell": [[5.245, -2.364, 0.000], [5.245, 2.364, 0.000], [-4.444, 0.000, 7.562]], "species": ["Pa", "Pa", "Pa", "Ga", "Ga", "Au", "Au", "Au", "Au"], "frac_coords": [[0.000, 0.000, 0.000], [0.337, 0.337, 0.329], [0.663, 0.663, 0.671], [0.386, 0.386, 0.718], [0.614, 0.614, 0.282], [0.076, 0.076, 0.404], [0.298, 0.298, 0.956], [0.702, 0.702, 0.044], [0.924, 0.924, 0.596]]}

[17]
{"formula": "Pa2Ga3Au2", "functional": "PBE", "state": "relaxed", "formation_enthalpy_0k_ev_per_atom": -0.35, "spacegroup": "No. 63", "vol_a3_per_atom": 20.7, "cell": [[2.173, -9.476, 0.000], [2.173, 9.476, 0.000], [0.000, 0.000, 7.024]], "species": ["Pa", "Pa", "Pa", "Pa", "Ga", "Ga", "Ga", "Ga", "Ga", "Ga", "Au", "Au", "Au", "Au"], "frac_coords": [[0.049, 0.951, 0.750], [0.155, 0.845, 0.250], [0.845, 0.155, 0.750], [0.951, 0.049, 0.250], [0.222, 0.778, 0.750], [0.443, 0.557, 0.575], [0.443, 0.557, 0.925], [0.557, 0.443, 0.075], [0.557, 0.443, 0.425], [0.778, 0.222, 0.250], [0.316, 0.684, 0.049], [0.316, 0.684, 0.451], [0.684, 0.316, 0.549], [0.684, 0.316, 0.951]]}

[18]
{"formula": "Pa3Ga5Au", "functional": "PBE", "state": "relaxed", "formation_enthalpy_0k_ev_per_atom": -0.24, "spacegroup": "No. 193", "vol_a3_per_atom": 20.9, "cell": [[8.541, 0.000, 0.000], [-4.270, 7.396, 0.000], [0.000, 0.000, 5.959]], "species": ["Pa", "Pa", "Pa", "Pa", "Pa", "Pa", "Ga", "Ga", "Ga", "Ga", "Ga", "Ga", "Ga", "Ga", "Ga", "Ga", "Au", "Au"], "frac_coords": [[0.000, 0.384, 0.250], [0.000, 0.616, 0.750], [0.384, 0.000, 0.250], [0.384, 0.384, 0.750], [0.616, 0.000, 0.750], [0.616, 0.616, 0.250], [0.000, 0.276, 0.750], [0.000, 0.724, 0.250], [0.276, 0.000, 0.750], [0.276, 0.276, 0.250], [0.333, 0.667, 0.000], [0.333, 0.667, 0.500], [0.667, 0.333, 0.000], [0.667, 0.333, 0.500], [0.724, 0.000, 0.250], [0.724, 0.724, 0.750], [0.000, 0.000, 0.000], [0.000, 0.000, 0.500]]}

[19]
{"formula": "Pa2Ga2Au3", "functional": "PBE", "state": "relaxed", "formation_enthalpy_0k_ev_per_atom": -0.26, "spacegroup": "No. 65", "vol_a3_per_atom": 20.5, "cell": [[2.075, -11.104, 0.000], [2.075, 11.104, 0.000], [0.000, 0.000, 3.112]], "species": ["Pa", "Pa", "Ga", "Ga", "Au", "Au", "Au"], "frac_coords": [[0.147, 0.853, 0.000], [0.853, 0.147, 0.000], [0.282, 0.718, 0.500], [0.718, 0.282, 0.500], [0.000, 0.000, 0.000], [0.433, 0.567, 0.500], [0.567, 0.433, 0.500]]}

[20]
{"formula": "Pa2GaAu", "functional": "PBE", "state": "relaxed", "formation_enthalpy_0k_ev_per_atom": -0.28, "spacegroup": "No. 123", "vol_a3_per_atom": 21.8, "cell": [[3.178, 0.000, 0.000], [0.000, 3.178, 0.000], [0.000, 0.000, 8.652]], "species": ["Pa", "Pa", "Ga", "Au"], "frac_coords": [[0.000, 0.000, 0.245], [0.000, 0.000, 0.755], [0.500, 0.500, 0.000], [0.500, 0.500, 0.500]]}

[21]
{"formula": "PaGa3Au3", "functional": "PBE", "state": "relaxed", "formation_enthalpy_0k_ev_per_atom": -0.22, "spacegroup": "No. 148", "vol_a3_per_atom": 22.5, "cell": [[4.019, 2.320, 5.620], [-4.019, 2.320, 5.620], [0.000, -4.640, 5.620]], "species": ["Pa", "Pa", "Ga", "Ga", "Ga", "Ga", "Ga", "Ga", "Au", "Au", "Au", "Au", "Au", "Au"], "frac_coords": [[0.165, 0.165, 0.165], [0.835, 0.835, 0.835], [0.105, 0.411, 0.720], [0.280, 0.895, 0.589], [0.411, 0.720, 0.105], [0.589, 0.280, 0.895], [0.720, 0.105, 0.411], [0.895, 0.589, 0.280], [0.063, 0.754, 0.411], [0.246, 0.589, 0.937], [0.411, 0.063, 0.754], [0.589, 0.937, 0.246], [0.754, 0.411, 0.063], [0.937, 0.246, 0.589]]}

[22]
{"formula": "Pa4Ga3Au", "functional": "PBE", "state": "relaxed", "formation_enthalpy_0k_ev_per_atom": -0.22, "spacegroup": "No. 25", "vol_a3_per_atom": 21.8, "cell": [[3.266, 0.000, 0.000], [0.000, 4.490, 0.000], [0.000, 0.000, 11.916]], "species": ["Pa", "Pa", "Pa", "Pa", "Ga", "Ga", "Ga", "Au"], "frac_coords": [[0.000, 0.000, 0.000], [0.000, 0.500, 0.338], [0.500, 0.000, 0.490], [0.500, 0.500, 0.845], [0.000, 0.500, 0.602], [0.500, 0.000, 0.229], [0.500, 0.500, 0.107], [0.000, 0.000, 0.726]]}

[23]
{"formula": "Pa3Ga5Au2", "functional": "PBE", "state": "relaxed", "formation_enthalpy_0k_ev_per_atom": -0.11, "spacegroup": "No. 72", "vol_a3_per_atom": 21.3, "cell": [[-5.499, 6.474, 2.996], [5.499, -6.474, 2.996], [5.499, 6.474, -2.996]], "species": ["Pa", "Pa", "Pa", "Pa", "Pa", "Pa", "Ga", "Ga", "Ga", "Ga", "Ga", "Ga", "Ga", "Ga", "Ga", "Ga", "Au", "Au", "Au", "Au"], "frac_coords": [[0.113, 0.725, 0.837], [0.250, 0.250, 0.000], [0.387, 0.225, 0.612], [0.613, 0.775, 0.388], [0.750, 0.750, 0.000], [0.887, 0.275, 0.163], [0.012, 0.250, 0.762], [0.130, 0.387, 0.517], [0.250, 0.750, 0.500], [0.370, 0.887, 0.257], [0.488, 0.250, 0.238], [0.512, 0.750, 0.762], [0.630, 0.113, 0.743], [0.750, 0.250, 0.500], [0.870, 0.613, 0.483], [0.988, 0.750, 0.238], [0.145, 0.163, 0.309], [0.355, 0.663, 0.018], [0.645, 0.337, 0.982], [0.855, 0.837, 0.691]]}

[24]
{"formula": "Pa2Ga5Au3", "functional": "PBE", "state": "relaxed", "formation_enthalpy_0k_ev_per_atom": -0.33, "spacegroup": "No. 72", "vol_a3_per_atom": 19.7, "cell": [[-5.209, 6.103, 3.103], [5.209, -6.103, 3.103], [5.209, 6.103, -3.103]], "species": ["Pa", "Pa", "Pa", "Pa", "Ga", "Ga", "Ga", "Ga", "Ga", "Ga", "Ga", "Ga", "Ga", "Ga", "Au", "Au", "Au", "Au", "Au", "Au"], "frac_coords": [[0.129, 0.231, 0.360], [0.371, 0.731, 0.103], [0.629, 0.269, 0.897], [0.871, 0.769, 0.640], [0.023, 0.750, 0.273], [0.114, 0.651, 0.765], [0.250, 0.250, 0.000], [0.386, 0.151, 0.536], [0.477, 0.750, 0.727], [0.523, 0.250, 0.273], [0.614, 0.849, 0.464], [0.750, 0.750, 0.000], [0.886, 0.349, 0.235], [0.977, 0.250, 0.727], [0.137, 0.885, 0.022], [0.250, 0.750, 0.500], [0.363, 0.385, 0.748], [0.637, 0.615, 0.252], [0.750, 0.250, 0.500], [0.863, 0.115, 0.978]]}